Entry from Alexandria via LeMat-Bulk: a relaxed structure of Mn5W3 (GGA-PBE).

Computed properties:
Offset from the most stable computed form ... 0 meV per atom
DFT formation energy ... 0.06 eV/atom

Cell lengths 5.1438, 5.1438, 4.1914 Å; angles 90.00, 90.00, 109.18 degrees
Atoms (fractional coordinates):
1 Mn 0.0000 0.5000 0.0000
2 W 0.7599 0.2401 0.5000
3 W 0.5000 0.5000 0.0000
4 Mn 0.2558 0.2558 0.5000
5 W 0.2401 0.7599 0.5000
6 Mn 0.7442 0.7442 0.5000
7 Mn 0.5000 0.0000 0.0000
8 Mn 0.0000 0.0000 0.0000